RhAuO2F | PBE | optimized geometry

Calculated values
For the energy relative to the elements, uncorrected, the calculation gives 0.5344 eV/atom. The value obtained for the total DFT energy (no corrections) is -19.74 eV per cell.

The structure in CIF format:
```
data_RhAuO2F
_symmetry_space_group_name_H-M 'P 4/m m m'
_symmetry_Int_Tables_number 123
_symmetry_space_group_name_Hall '-P 4 2'
_cell_length_a 4.1328
_cell_length_b 4.1328
_cell_length_c 4.2022
_cell_angle_alpha 90.00
_cell_angle_beta 90.00
_cell_angle_gamma 90.00
loop_
_atom_site_label
_atom_site_type_symbol
_atom_site_fract_x
_atom_site_fract_y
_atom_site_fract_z
Rh1 Rh 0.0000 0.0000 0.0000
Au1 Au 0.5000 0.5000 0.5000
O1 O 0.0000 0.5000 0.5000
F1 F 0.5000 0.5000 0.0000
```

RhAuOF2 | PBE | optimized geometry

Calculated values
For the energy relative to the elements, uncorrected, the calculation gives -0.4768 eV/atom. The value obtained for the total DFT energy (no corrections) is -21.71 eV per cell. For the excess energy over the best structure of this formula in the dataset, the calculation gives 0.00 kJ per mole of atoms.

The structure in CIF format:
```
data_RhAuOF2
_symmetry_space_group_name_H-M 'P 4/m m m'
_symmetry_Int_Tables_number 123
_symmetry_space_group_name_Hall '-P 4 2'
_cell_length_a 4.3424
_cell_length_b 4.3424
_cell_length_c 3.7309
_cell_angle_alpha 90.00
_cell_angle_beta 90.00
_cell_angle_gamma 90.00
loop_
_atom_site_label
_atom_site_type_symbol
_atom_site_fract_x
_atom_site_fract_y
_atom_site_fract_z
Rh1 Rh 0.0000 0.0000 0.0000
Au1 Au 0.5000 0.5000 0.5000
O1 O 0.0000 0.0000 0.5000
F1 F 0.0000 0.5000 0.0000
```

RhAuO2F | PBE | optimized geometry

Calculated values
For the energy relative to the elements, uncorrected, the calculation gives -0.1541 eV/atom. The value obtained for the total DFT energy (no corrections) is -23.19 eV per cell.

The structure in CIF format:
```
data_RhAuO2F
_symmetry_space_group_name_H-M 'P 4/m m m'
_symmetry_Int_Tables_number 123
_symmetry_space_group_name_Hall '-P 4 2'
_cell_length_a 3.8932
_cell_length_b 3.8932
_cell_length_c 4.3681
_cell_angle_alpha 90.00
_cell_angle_beta 90.00
_cell_angle_gamma 90.00
loop_
_atom_site_label
_atom_site_type_symbol
_atom_site_fract_x
_atom_site_fract_y
_atom_site_fract_z
Rh1 Rh 0.0000 0.0000 0.0000
Au1 Au 0.5000 0.5000 0.5000
O1 O 0.0000 0.5000 0.0000
F1 F 0.0000 0.0000 0.5000
```

RuAuOF2 | PBE | optimized geometry

Calculated values
For the energy relative to the elements, uncorrected, the calculation gives -0.5763 eV/atom. The value obtained for the total DFT energy (no corrections) is -24.14 eV per cell. For the excess energy over the best structure of this formula in the dataset, the calculation gives 0.00 kJ per mole of atoms.

The structure in CIF format:
```
data_RuAuOF2
_symmetry_space_group_name_H-M 'P 4/m m m'
_symmetry_Int_Tables_number 123
_symmetry_space_group_name_Hall '-P 4 2'
_cell_length_a 4.3508
_cell_length_b 4.3508
_cell_length_c 3.6900
_cell_angle_alpha 90.00
_cell_angle_beta 90.00
_cell_angle_gamma 90.00
loop_
_atom_site_label
_atom_site_type_symbol
_atom_site_fract_x
_atom_site_fract_y
_atom_site_fract_z
Ru1 Ru 0.0000 0.0000 0.0000
Au1 Au 0.5000 0.5000 0.5000
O1 O 0.0000 0.0000 0.5000
F1 F 0.0000 0.5000 0.0000
```

RuAuOF2 | PBE | optimized geometry

Calculated values
For the energy relative to the elements, uncorrected, the calculation gives 0.3149 eV/atom. The value obtained for the total DFT energy (no corrections) is -19.68 eV per cell. For the excess energy over the best structure of this formula in the dataset, the calculation gives 85.99 kJ per mole of atoms.

The structure in CIF format:
```
data_RuAuOF2
_symmetry_space_group_name_H-M 'P 4/m m m'
_symmetry_Int_Tables_number 123
_symmetry_space_group_name_Hall '-P 4 2'
_cell_length_a 4.4393
_cell_length_b 4.4393
_cell_length_c 4.0322
_cell_angle_alpha 90.00
_cell_angle_beta 90.00
_cell_angle_gamma 90.00
loop_
_atom_site_label
_atom_site_type_symbol
_atom_site_fract_x
_atom_site_fract_y
_atom_site_fract_z
Ru1 Ru 0.0000 0.0000 0.0000
Au1 Au 0.5000 0.5000 0.5000
O1 O 0.5000 0.5000 0.0000
F1 F 0.0000 0.5000 0.5000
```

RuAuO2F | PBE | optimized geometry

Calculated values
For the energy relative to the elements, uncorrected, the calculation gives -0.3782 eV/atom. The value obtained for the total DFT energy (no corrections) is -26.23 eV per cell.

The structure in CIF format:
```
data_RuAuO2F
_symmetry_space_group_name_H-M 'P 4/m m m'
_symmetry_Int_Tables_number 123
_symmetry_space_group_name_Hall '-P 4 2'
_cell_length_a 3.7994
_cell_length_b 3.7994
_cell_length_c 4.5807
_cell_angle_alpha 90.00
_cell_angle_beta 90.00
_cell_angle_gamma 90.00
loop_
_atom_site_label
_atom_site_type_symbol
_atom_site_fract_x
_atom_site_fract_y
_atom_site_fract_z
Ru1 Ru 0.0000 0.0000 0.0000
Au1 Au 0.5000 0.5000 0.5000
O1 O 0.0000 0.5000 0.0000
F1 F 0.0000 0.0000 0.5000
```

RuAuO2F | PBE | optimized geometry

Calculated values
For the energy relative to the elements, uncorrected, the calculation gives 0.6098 eV/atom. The value obtained for the total DFT energy (no corrections) is -21.29 eV per cell.

The structure in CIF format:
```
data_RuAuO2F
_symmetry_space_group_name_H-M 'P 4/m m m'
_symmetry_Int_Tables_number 123
_symmetry_space_group_name_Hall '-P 4 2'
_cell_length_a 4.0886
_cell_length_b 4.0886
_cell_length_c 4.3525
_cell_angle_alpha 90.00
_cell_angle_beta 90.00
_cell_angle_gamma 90.00
loop_
_atom_site_label
_atom_site_type_symbol
_atom_site_fract_x
_atom_site_fract_y
_atom_site_fract_z
Ru1 Ru 0.0000 0.0000 0.0000
Au1 Au 0.5000 0.5000 0.5000
O1 O 0.0000 0.5000 0.5000
F1 F 0.5000 0.5000 0.0000
```

AuSOF2 | PBE | optimized geometry

Calculated values
For the energy relative to the elements, uncorrected, the calculation gives 0.1308 eV/atom. The value obtained for the total DFT energy (no corrections) is -15.45 eV per cell. For the excess energy over the best structure of this formula in the dataset, the calculation gives 31.10 kJ per mole of atoms.

The structure in CIF format:
```
data_AuSOF2
_symmetry_space_group_name_H-M 'P 4/m m m'
_symmetry_Int_Tables_number 123
_symmetry_space_group_name_Hall '-P 4 2'
_cell_length_a 4.7944
_cell_length_b 4.7944
_cell_length_c 3.2268
_cell_angle_alpha 90.00
_cell_angle_beta 90.00
_cell_angle_gamma 90.00
loop_
_atom_site_label
_atom_site_type_symbol
_atom_site_fract_x
_atom_site_fract_y
_atom_site_fract_z
Au1 Au 0.0000 0.0000 0.0000
S1 S 0.5000 0.5000 0.0000
O1 O 0.5000 0.5000 0.5000
F1 F 0.0000 0.5000 0.5000
```

AuSO2F | PBE | optimized geometry

Calculated values
For the energy relative to the elements, uncorrected, the calculation gives 0.6386 eV/atom. The value obtained for the total DFT energy (no corrections) is -16.00 eV per cell.

The structure in CIF format:
```
data_AuSO2F
_symmetry_space_group_name_H-M 'P 4/m m m'
_symmetry_Int_Tables_number 123
_symmetry_space_group_name_Hall '-P 4 2'
_cell_length_a 4.0884
_cell_length_b 4.0884
_cell_length_c 4.2997
_cell_angle_alpha 90.00
_cell_angle_beta 90.00
_cell_angle_gamma 90.00
loop_
_atom_site_label
_atom_site_type_symbol
_atom_site_fract_x
_atom_site_fract_y
_atom_site_fract_z
Au1 Au 0.0000 0.0000 0.0000
S1 S 0.5000 0.5000 0.5000
O1 O 0.0000 0.5000 0.0000
F1 F 0.0000 0.0000 0.5000
```

AuSO4F2 | PBE | optimized geometry

Calculated values
For the energy relative to the elements, uncorrected, the calculation gives -0.1134 eV/atom. The value obtained for the total DFT energy (no corrections) is -127.55 eV per cell.

The structure in CIF format:
```
data_AuSO4F2
_symmetry_space_group_name_H-M 'C 1 2/c 1'
_symmetry_Int_Tables_number 15
_symmetry_space_group_name_Hall '-C 2yc'
_cell_length_a 8.1055
_cell_length_b 9.0462
_cell_length_c 5.3733
_cell_angle_alpha 90.00
_cell_angle_beta 90.56
_cell_angle_gamma 90.00
loop_
_atom_site_label
_atom_site_type_symbol
_atom_site_fract_x
_atom_site_fract_y
_atom_site_fract_z
Au1 Au 0.0000 0.0000 0.0000
S1 S 0.2500 0.2500 0.0000
O1 O 0.0599 0.2212 0.9997
O2 O 0.2166 0.4244 0.9997
F1 F 0.0000 0.5000 0.0000
F2 F 0.2500 0.2500 0.5000
```

AuSOF2 | PBE | optimized geometry

Calculated values
For the energy relative to the elements, uncorrected, the calculation gives 0.1946 eV/atom. The value obtained for the total DFT energy (no corrections) is -15.13 eV per cell. For the excess energy over the best structure of this formula in the dataset, the calculation gives 37.26 kJ per mole of atoms.

The structure in CIF format:
```
data_AuSOF2
_symmetry_space_group_name_H-M 'P 4/m m m'
_symmetry_Int_Tables_number 123
_symmetry_space_group_name_Hall '-P 4 2'
_cell_length_a 4.3970
_cell_length_b 4.3970
_cell_length_c 4.0558
_cell_angle_alpha 90.00
_cell_angle_beta 90.00
_cell_angle_gamma 90.00
loop_
_atom_site_label
_atom_site_type_symbol
_atom_site_fract_x
_atom_site_fract_y
_atom_site_fract_z
Au1 Au 0.0000 0.0000 0.0000
S1 S 0.5000 0.5000 0.5000
O1 O 0.0000 0.0000 0.5000
F1 F 0.0000 0.5000 0.0000
```

AuS3O9F3 | PBE | optimized geometry

Calculated values
For the energy relative to the elements, uncorrected, the calculation gives -1.1725 eV/atom. The value obtained for the total DFT energy (no corrections) is -338.63 eV per cell.

The structure in CIF format:
```
data_AuS3O9F3
_symmetry_space_group_name_H-M 'P 1 21/c 1'
_symmetry_Int_Tables_number 14
_symmetry_space_group_name_Hall '-P 2ybc'
_cell_length_a 11.1595
_cell_length_b 9.7382
_cell_length_c 10.0559
_cell_angle_alpha 90.00
_cell_angle_beta 94.47
_cell_angle_gamma 90.00
loop_
_atom_site_label
_atom_site_type_symbol
_atom_site_fract_x
_atom_site_fract_y
_atom_site_fract_z
Au1 Au 0.1671 0.0039 0.1503
S1 S 0.1099 0.6032 0.3539
S2 S 0.1976 0.1077 0.4463
S3 S 0.4233 0.6149 0.6929
O1 O 0.0197 0.0109 0.8458
O2 O 0.0855 0.7214 0.2742
O3 O 0.1488 0.5231 0.9759
O4 O 0.1504 0.6384 0.4955
O5 O 0.1694 0.2289 0.5183
O6 O 0.1811 0.1470 0.2971
O7 O 0.3473 0.0124 0.1437
O8 O 0.3642 0.6955 0.7867
O9 O 0.4560 0.0672 0.7831
F1 F 0.2190 0.5239 0.3029
F2 F 0.3397 0.0919 0.4665
F3 F 0.4200 0.7034 0.5599
```